# 1
DFT (PBE) results for a relaxed Ba3TbZr2O9 crystal.

Calculated values
The value obtained for the density of states at the Fermi level is 12.55 states/eV per cell. The volume is 16.3 A^3/atom. As for the calculated total energy: -7.855 eV per atom. The value obtained for the formation energy (no corrections) is -3.05 eV per atom.

Cell: 6.1243 6.1243 7.5133 Å, 90.00 90.00 120.00°
Element x y z (fractional)
Ba (0.0000, 0.0000, 0.0000)
Ba (0.3333, 0.6667, 0.6672)
Ba (0.6667, 0.3333, 0.3328)
Tb (0.0000, 0.0000, 0.5000)
Zr (0.3333, 0.6667, 0.1642)
Zr (0.6667, 0.3333, 0.8358)
O (0.0000, 0.5000, 0.0000)
O (0.1722, 0.3443, 0.3240)
O (0.1722, 0.8278, 0.3240)
O (0.3443, 0.1722, 0.6760)
O (0.5000, 0.0000, 0.0000)
O (0.5000, 0.5000, 0.0000)
O (0.6557, 0.8278, 0.3240)
O (0.8278, 0.1722, 0.6760)
O (0.8278, 0.6557, 0.6760)



# 2
DFT (PBE) results for a relaxed BaTc2O8 crystal.

Calculated values
The value obtained for the density of states at the Fermi level is 0.00 states/eV per cell. The volume is 17.8 A^3/atom. The calculation puts the relative energy among the computed polymorphs at 0.0 kJ/mol of formula units. As for the calculated total energy: -7.460 eV per atom. The value obtained for the formation energy (no corrections) is -1.79 eV per atom.

Cell: 5.5313 5.5313 7.3403 Å, 110.32 110.32 89.97°
Element x y z (fractional)
Ba (0.0000, 0.0000, 0.0000)
Tc (0.3726, 0.3726, 0.6913)
Tc (0.6274, 0.6274, 0.3087)
O (0.1820, 0.1820, 0.7471)
O (0.2785, 0.2785, 0.4209)
O (0.3023, 0.6646, 0.1957)
O (0.3354, 0.6977, 0.8043)
O (0.6646, 0.3023, 0.1957)
O (0.6977, 0.3354, 0.8043)
O (0.7215, 0.7215, 0.5791)
O (0.8180, 0.8180, 0.2529)



# 3
DFT (PBE) results for a relaxed BaTcO2 crystal.

Calculated values
The value obtained for the density of states at the Fermi level is 4.02 states/eV per cell. The volume is 16.0 A^3/atom. The calculation puts the relative energy among the computed polymorphs at 336.7 kJ/mol of formula units. As for the calculated total energy: -6.012 eV per atom. The value obtained for the formation energy (no corrections) is -0.46 eV per atom.

Cell: 4.4883 4.4883 4.4883 Å, 60.00 60.00 60.00°
Element x y z (fractional)
Ba (0.0000, 0.0000, 0.0000)
Tc (0.5000, 0.5000, 0.5000)
O (0.2500, 0.2500, 0.2500)
O (0.7500, 0.7500, 0.7500)



# 4
DFT (PBE) results for a relaxed BaTcO5 crystal.

Calculated values
The value obtained for the density of states at the Fermi level is 2.39 states/eV per cell. The volume is 29.0 A^3/atom. The calculation puts the relative energy among the computed polymorphs at 0.0 kJ/mol of formula units. As for the calculated total energy: -6.905 eV per atom. The value obtained for the formation energy (no corrections) is -1.61 eV per atom.

Cell: 7.0133 7.0133 9.4998 Å, 109.16 109.16 95.14°
Element x y z (fractional)
Ba (0.0000, 0.0000, 0.0000)
Ba (0.0000, 0.0000, 0.5000)
Tc (0.3494, 0.6506, 0.7500)
Tc (0.6506, 0.3494, 0.2500)
O (0.0679, 0.9321, 0.2500)
O (0.2330, 0.7309, 0.8891)
O (0.2691, 0.7670, 0.6109)
O (0.2747, 0.3829, 0.6509)
O (0.3829, 0.2747, 0.1509)
O (0.6171, 0.7253, 0.8491)
O (0.7253, 0.6171, 0.3491)
O (0.7309, 0.2330, 0.3891)
O (0.7670, 0.2691, 0.1109)
O (0.9321, 0.0679, 0.7500)



# 5
DFT (PBE) results for a relaxed Ba2TcO6 crystal.

Calculated values
The value obtained for the density of states at the Fermi level is 5.75 states/eV per cell. The volume is 18.6 A^3/atom. The calculation puts the relative energy among the computed polymorphs at 0.0 kJ/mol of formula units. As for the calculated total energy: -6.762 eV per atom. The value obtained for the formation energy (no corrections) is -1.88 eV per atom.

Cell: 6.0101 6.8844 9.5215 Å, 90.00 121.82 90.00°
Element x y z (fractional)
Ba (0.2103, 0.0894, 0.2531)
Ba (0.2103, 0.4106, 0.7531)
Ba (0.7897, 0.5894, 0.2469)
Ba (0.7897, 0.9106, 0.7469)
Tc (0.5000, 0.0000, 0.0000)
Tc (0.5000, 0.5000, 0.5000)
O (0.1955, 0.1324, 0.9605)
O (0.1955, 0.3676, 0.4605)
O (0.3115, 0.7410, 0.4360)
O (0.3115, 0.7590, 0.9360)
O (0.4015, 0.0467, 0.7799)
O (0.4015, 0.4533, 0.2799)
O (0.5985, 0.5467, 0.7201)
O (0.5985, 0.9533, 0.2201)
O (0.6885, 0.2410, 0.0640)
O (0.6885, 0.2590, 0.5640)
O (0.8045, 0.6324, 0.5395)
O (0.8045, 0.8676, 0.0395)



# 6
DFT (PBE) results for a relaxed Ba2TcO4 crystal.

Calculated values
The value obtained for the density of states at the Fermi level is 1.91 states/eV per cell. The volume is 16.2 A^3/atom. The calculation puts the relative energy among the computed polymorphs at 0.0 kJ/mol of formula units. As for the calculated total energy: -7.047 eV per atom. The value obtained for the formation energy (no corrections) is -2.18 eV per atom.

Cell: 7.3181 7.3181 7.3181 Å, 147.44 147.44 46.72°
Element x y z (fractional)
Ba (0.1438, 0.1438, 0.0000)
Ba (0.8562, 0.8562, 0.0000)
Tc (0.5000, 0.5000, 0.0000)
O (0.0000, 0.5000, 0.5000)
O (0.3473, 0.3473, 0.0000)
O (0.5000, 0.0000, 0.5000)
O (0.6527, 0.6527, 0.0000)



# 7
DFT (PBE) results for a relaxed BaTcO5 crystal.

Calculated values
The value obtained for the density of states at the Fermi level is 5.20 states/eV per cell. The volume is 17.9 A^3/atom. The calculation puts the relative energy among the computed polymorphs at 94.1 kJ/mol of formula units. As for the calculated total energy: -6.766 eV per atom. The value obtained for the formation energy (no corrections) is -1.47 eV per atom.

Cell: 6.2278 6.2278 7.7707 Å, 112.68 112.68 70.90°
Element x y z (fractional)
Ba (0.0594, 0.9406, 0.7500)
Ba (0.9406, 0.0594, 0.2500)
Tc (0.5000, 0.5000, 0.0000)
Tc (0.5000, 0.5000, 0.5000)
O (0.2393, 0.7434, 0.0431)
O (0.2566, 0.7607, 0.4569)
O (0.2834, 0.3068, 0.3719)
O (0.3068, 0.2834, 0.8719)
O (0.4401, 0.5599, 0.7500)
O (0.5599, 0.4401, 0.2500)
O (0.6932, 0.7166, 0.1281)
O (0.7166, 0.6932, 0.6281)
O (0.7434, 0.2393, 0.5431)
O (0.7607, 0.2566, 0.9569)



# 8
DFT (PBE) results for a relaxed BaTc3O crystal.

Calculated values
The value obtained for the density of states at the Fermi level is 3.86 states/eV per cell. The volume is 29.1 A^3/atom. The calculation puts the relative energy among the computed polymorphs at 1252.1 kJ/mol of formula units. As for the calculated total energy: -4.213 eV per atom. The value obtained for the formation energy (no corrections) is 3.38 eV per atom.

Cell: 5.2567 5.2567 5.2567 Å, 90.00 90.00 90.00°
Element x y z (fractional)
Ba (0.0000, 0.0000, 0.0000)
Tc (0.0000, 0.0000, 0.5000)
Tc (0.0000, 0.5000, 0.0000)
Tc (0.5000, 0.0000, 0.0000)
O (0.5000, 0.5000, 0.5000)



# 9
DFT (PBE) results for a relaxed BaTc2O8 crystal.

Calculated values
The value obtained for the density of states at the Fermi level is 6.20 states/eV per cell. The volume is 13.7 A^3/atom. The calculation puts the relative energy among the computed polymorphs at 874.8 kJ/mol of formula units. As for the calculated total energy: -6.636 eV per atom. The value obtained for the formation energy (no corrections) is -0.97 eV per atom.

Cell: 4.7800 4.7800 6.5934 Å, 90.00 90.00 90.00°
Element x y z (fractional)
Ba (0.0000, 0.0000, 0.0000)
Tc (0.0000, 0.5000, 0.5000)
Tc (0.5000, 0.0000, 0.5000)
O (0.2512, 0.2512, 0.3240)
O (0.2512, 0.2512, 0.6760)
O (0.2512, 0.7488, 0.3240)
O (0.2512, 0.7488, 0.6760)
O (0.7488, 0.2512, 0.3240)
O (0.7488, 0.2512, 0.6760)
O (0.7488, 0.7488, 0.3240)
O (0.7488, 0.7488, 0.6760)



# 10
DFT (PBE) results for a relaxed Ba3Tc2O8 crystal.

Calculated values
The volume is 17.6 A^3/atom. As for the calculated total energy: -7.182 eV per atom. The value obtained for the formation energy (no corrections) is -2.09 eV per atom.

Cell: 8.0444 8.0444 8.0444 Å, 44.04 44.04 44.04°
Element x y z (fractional)
Ba (0.0000, 0.0000, 0.0000)
Ba (0.2025, 0.2025, 0.2025)
Ba (0.7975, 0.7975, 0.7975)
Tc (0.4058, 0.4058, 0.4058)
Tc (0.5942, 0.5942, 0.5942)
O (0.2312, 0.7317, 0.7317)
O (0.2683, 0.2683, 0.7688)
O (0.2683, 0.7688, 0.2683)
O (0.3217, 0.3217, 0.3217)
O (0.6783, 0.6783, 0.6783)
O (0.7317, 0.2312, 0.7317)
O (0.7317, 0.7317, 0.2312)
O (0.7688, 0.2683, 0.2683)



# 11
DFT (PBE) results for a relaxed Ba3TcO6 crystal.

Calculated values
The value obtained for the density of states at the Fermi level is 11.36 states/eV per cell. The volume is 18.9 A^3/atom. The calculation puts the relative energy among the computed polymorphs at 16.7 kJ/mol of formula units. As for the calculated total energy: -6.788 eV per atom. The value obtained for the formation energy (no corrections) is -2.20 eV per atom.

Cell: 7.2400 7.2400 7.2400 Å, 92.05 92.05 92.05°
Element x y z (fractional)
Ba (0.0637, 0.7550, 0.5669)
Ba (0.2450, 0.4331, 0.9363)
Ba (0.4331, 0.9363, 0.2450)
Ba (0.5669, 0.0637, 0.7550)
Ba (0.7550, 0.5669, 0.0637)
Ba (0.9363, 0.2450, 0.4331)
Tc (0.0000, 0.0000, 0.0000)
Tc (0.5000, 0.5000, 0.5000)
O (0.0460, 0.7409, 0.9313)
O (0.0687, 0.9540, 0.2591)
O (0.2426, 0.4335, 0.5536)
O (0.2591, 0.0687, 0.9540)
O (0.4335, 0.5536, 0.2426)
O (0.4464, 0.7574, 0.5665)
O (0.5536, 0.2426, 0.4335)
O (0.5665, 0.4464, 0.7574)
O (0.7409, 0.9313, 0.0460)
O (0.7574, 0.5665, 0.4464)
O (0.9313, 0.0460, 0.7409)
O (0.9540, 0.2591, 0.0687)



# 12
DFT (PBE) results for a relaxed Ba2TcO4 crystal.

Calculated values
The volume is 19.9 A^3/atom. The calculation puts the relative energy among the computed polymorphs at 119.2 kJ/mol of formula units. As for the calculated total energy: -6.871 eV per atom. The value obtained for the formation energy (no corrections) is -2.01 eV per atom.

Cell: 6.5463 5.8405 7.5068 Å, 90.00 104.07 90.00°
Element x y z (fractional)
Ba (0.2042, 0.2500, 0.0324)
Ba (0.2478, 0.2500, 0.5482)
Ba (0.7522, 0.7500, 0.4518)
Ba (0.7958, 0.7500, 0.9676)
Tc (0.2599, 0.7500, 0.7962)
Tc (0.7401, 0.2500, 0.2038)
O (0.0217, 0.5341, 0.7424)
O (0.0217, 0.9659, 0.7424)
O (0.3861, 0.7500, 0.0410)
O (0.4434, 0.7500, 0.6445)
O (0.5566, 0.2500, 0.3555)
O (0.6139, 0.2500, 0.9590)
O (0.9783, 0.0341, 0.2576)
O (0.9783, 0.4659, 0.2576)



no.,total magnetization (μB/cell)
1,0.730
2,0.000
3,4.735
4,2.000
5,2.102
6,2.511
7,2.030
8,10.487
9,1.524
10,4.000
11,2.032
12,2.109